HfV2Tc2: relaxed, PBE-GGA.

The space group is P4/mbm (No. 127) and the conventional cell measures 7.416, 7.416 and 2.853 Å, with angles of 90.00, 90.00 and 90.00 degrees. Symmetry generates all atoms from Hf at (0.000, 0.000, 0.000), V at (0.141, 0.359, 0.000) and Tc at (0.156, 0.656, 0.500).

The calculation puts the calculated formation energy at 0.03 eV/atom.

=====

Hf3VTc4: relaxed, PBE-GGA.

The space group is P4/mmm (No. 123) and the conventional cell measures 3.200, 3.200 and 12.902 Å, with angles of 90.00, 90.00 and 90.00 degrees. Symmetry generates all atoms from Hf at (0.000, 0.000, 0.000), Hf at (0.000, 0.000, 0.256), V at (0.000, 0.000, 0.500), Tc at (0.500, 0.500, 0.129) and Tc at (0.500, 0.500, 0.388).

The calculation puts the calculated formation energy at -0.42 eV/atom.

=====

Please write out number 1 again, unchanged.
HfV2Tc2: relaxed, PBE-GGA.

The space group is P4/mbm (No. 127) and the conventional cell measures 7.416, 7.416 and 2.853 Å, with angles of 90.00, 90.00 and 90.00 degrees. Symmetry generates all atoms from Hf at (0.000, 0.000, 0.000), V at (0.141, 0.359, 0.000) and Tc at (0.156, 0.656, 0.500).

The calculation puts the calculated formation energy at 0.03 eV/atom.